Density functional theory data (PBE) for an optimized crystal structure of SrCdHg2.

Summary:
For the energy of formation from the pure elements, the calculation gives -1.32 eV per formula unit. As for the space-group type: C2/m (12).

Cell lengths 4.9297, 4.9297, 4.7031 Å; angles 90.32, 90.32, 89.96 degrees
Atoms (fractional coordinates):
Sr: 0.0000 0.0000 0.0000
Cd: 0.5000 0.5000 0.0000
Hg: 0.0000 0.5000 0.5000
Hg: 0.5000 0.0000 0.5000